1.
{"formula": "YInRu2", "functional": "GGA-PBE", "state": "optimized geometry", "final_energy_ev_per_atom": -6.889, "formation_enthalpy_0k_mev_per_atom": 50, "lattice_angstrom": [[3.088, 0.000, 0.000], [0.000, 4.113, 0.000], [0.000, 0.000, 5.882]], "species": ["Ru", "Y", "In", "Ru"], "frac_coords": [[0.000, 0.000, 0.012], [0.000, 0.000, 0.472], [0.500, 0.500, 0.782], [0.500, 0.500, 0.234]]}



2.
{"formula": "YInRu2", "functional": "GGA-PBE", "state": "optimized geometry", "final_energy_ev_per_atom": -7.033, "formation_enthalpy_0k_mev_per_atom": -95, "lattice_angstrom": [[3.383, 0.000, 0.000], [0.000, 3.315, 0.668], [0.000, 2.044, 7.001]], "species": ["Y", "Ru", "In", "Ru"], "frac_coords": [[0.500, 0.250, 0.250], [0.000, 0.021, 0.980], [0.500, 0.750, 0.750], [0.000, 0.479, 0.520]]}



3.
{"formula": "Y12InRu6", "functional": "GGA-PBE", "state": "optimized geometry", "final_energy_ev_per_atom": -7.442, "formation_enthalpy_0k_mev_per_atom": -286, "lattice_angstrom": [[-6.555, -3.671, 4.089], [7.212, -4.233, 1.797], [0.756, 8.130, 2.547]], "species": ["Y", "Y", "Ru", "Ru", "Y", "Ru", "Y", "Y", "Ru", "In", "Y", "Ru", "Ru", "Y", "Y", "Y", "Y", "Y", "Y"], "frac_coords": [[0.194, 0.704, 0.898], [0.704, 0.898, 0.194], [0.500, 0.877, 0.377], [0.877, 0.377, 0.500], [0.102, 0.806, 0.296], [0.500, 0.123, 0.623], [0.490, 0.194, 0.296], [0.510, 0.806, 0.704], [0.623, 0.500, 0.123], [0.000, 0.000, 0.000], [0.296, 0.490, 0.194], [0.377, 0.500, 0.877], [0.123, 0.623, 0.500], [0.806, 0.296, 0.102], [0.704, 0.510, 0.806], [0.296, 0.102, 0.806], [0.194, 0.296, 0.490], [0.806, 0.704, 0.510], [0.898, 0.194, 0.704]]}



4.
{"formula": "Y2InRu", "functional": "GGA-PBE", "state": "optimized geometry", "final_energy_ev_per_atom": -6.414, "formation_enthalpy_0k_mev_per_atom": -179, "lattice_angstrom": [[3.421, 0.000, 0.000], [0.000, 3.421, 0.000], [0.000, 0.000, 8.315]], "species": ["Y", "In", "Ru", "Y"], "frac_coords": [[0.000, 0.000, 0.929], [0.000, 0.000, 0.551], [0.500, 0.500, 0.731], [0.500, 0.500, 0.288]]}



5.
{"formula": "Y2InRu", "functional": "GGA-PBE", "state": "optimized geometry", "final_energy_ev_per_atom": -6.468, "formation_enthalpy_0k_mev_per_atom": -232, "lattice_angstrom": [[-8.256, -3.502, -2.650], [-6.462, -6.484, -1.908], [-8.067, -4.677, 0.703]], "species": ["In", "Y", "Ru", "Y"], "frac_coords": [[0.250, 0.250, 0.250], [0.487, 0.487, 0.487], [0.750, 0.750, 0.750], [0.013, 0.013, 0.013]]}



6.
{"formula": "ZnInRu2", "functional": "GGA-PBE", "state": "optimized geometry", "final_energy_ev_per_atom": -5.493, "formation_enthalpy_0k_mev_per_atom": 148, "lattice_angstrom": [[4.576, 0.008, -0.008], [3.654, 2.756, -0.008], [0.943, 0.317, 5.040]], "species": ["Ru", "In", "Ru", "Zn"], "frac_coords": [[0.004, 0.004, 0.968], [0.250, 0.250, 0.250], [0.496, 0.496, 0.532], [0.750, 0.750, 0.750]]}



7.
{"formula": "ZnInRu2", "functional": "GGA-PBE", "state": "optimized geometry", "final_energy_ev_per_atom": -5.052, "formation_enthalpy_0k_mev_per_atom": 589, "lattice_angstrom": [[7.114, 0.000, 0.000], [0.000, 7.114, 0.000], [3.557, 3.557, 2.711]], "species": ["In", "Ru", "Ru", "In", "Zn", "Ru", "Zn", "Ru"], "frac_coords": [[0.750, 0.250, 0.500], [0.375, 0.399, 0.750], [0.875, 0.851, 0.750], [0.000, 0.000, 0.000], [0.500, 0.500, 0.000], [0.149, 0.625, 0.250], [0.250, 0.750, 0.500], [0.601, 0.125, 0.250]]}



8.
{"formula": "ZnInRu2", "functional": "GGA-PBE", "state": "optimized geometry", "final_energy_ev_per_atom": -5.494, "formation_enthalpy_0k_mev_per_atom": 147, "lattice_angstrom": [[2.896, 0.000, 0.000], [0.000, 3.677, 0.000], [0.000, 0.000, 5.957]], "species": ["Ru", "Ru", "Zn", "In"], "frac_coords": [[0.000, 0.000, 0.029], [0.500, 0.500, 0.248], [0.000, 0.000, 0.469], [0.500, 0.500, 0.754]]}



9.
{"formula": "ZnInRu2", "functional": "GGA-PBE", "state": "optimized geometry", "final_energy_ev_per_atom": -5.381, "formation_enthalpy_0k_mev_per_atom": 260, "lattice_angstrom": [[3.042, 0.000, 0.000], [0.000, 4.727, 0.000], [0.000, 0.000, 4.406]], "species": ["Ru", "Ru", "Zn", "In"], "frac_coords": [[0.500, 0.500, 0.000], [0.000, 0.000, 0.000], [0.500, 0.000, 0.500], [0.000, 0.500, 0.500]]}



10.
{"formula": "ZnIn4Ru", "functional": "GGA-PBE", "state": "optimized geometry", "final_energy_ev_per_atom": -2.931, "formation_enthalpy_0k_mev_per_atom": 653, "lattice_angstrom": [[0.000, 4.077, 4.077], [4.077, 0.000, 4.077], [4.077, 4.077, 0.000]], "species": ["In", "In", "In", "Ru", "In", "Zn"], "frac_coords": [[0.375, 0.874, 0.375], [0.375, 0.375, 0.375], [0.874, 0.375, 0.375], [0.750, 0.750, 0.750], [0.375, 0.375, 0.874], [0.000, 0.000, 0.000]]}



11.
{"formula": "Zn2InRu2", "functional": "GGA-PBE", "state": "optimized geometry", "de_polymorph_mev_per_atom": 32, "final_energy_ev_per_atom": -4.643, "formation_enthalpy_0k_mev_per_atom": 124, "lattice_angstrom": [[6.924, 0.000, 0.000], [0.000, 6.924, 0.000], [0.000, 0.000, 3.210]], "species": ["In", "Ru", "Zn", "Ru", "Zn", "Ru", "Ru", "Zn", "Zn", "In"], "frac_coords": [[0.000, 0.000, 0.000], [0.672, 0.828, 0.500], [0.875, 0.625, 0.000], [0.828, 0.328, 0.500], [0.125, 0.375, 0.000], [0.328, 0.172, 0.500], [0.172, 0.672, 0.500], [0.625, 0.125, 0.000], [0.375, 0.875, 0.000], [0.500, 0.500, 0.000]]}



12.
{"formula": "ZnInRu", "functional": "GGA-PBE", "state": "optimized geometry", "final_energy_ev_per_atom": -4.176, "formation_enthalpy_0k_mev_per_atom": 253, "lattice_angstrom": [[-1.464, 0.438, 2.590], [1.530, -2.549, -0.450], [5.447, 2.810, 2.604]], "species": ["Zn", "Ru", "In"], "frac_coords": [[0.333, 0.667, 0.639], [0.667, 0.333, 0.345], [0.000, 0.000, 0.017]]}